The following is a GGA-PBE calculation of a relaxed MgInSnHg2 crystal, from Alexandria via LeMat-Bulk.

Calculated values
* M_tot: 0.0 μB/f.u.
* crystal system: tetragonal
* theoretical density: 8296 kg/m3
* calculated formation energy: 0.046 eV per atom

Cell: 4.1998 4.1998 8.0467 Å, 105.13 105.13 90.00°
Element x y z (fractional)
1 Sn 0.4902 0.4902 0.9804
2 Mg 0.8983 0.8983 0.7967
3 Hg 0.2579 0.7579 0.5158
4 Hg 0.7579 0.2579 0.5158
5 In 0.0956 0.0956 0.1912